Te2MoRhO PBE with a Hubbard U relaxed; size of the total moment = 3.648 μB per formula unit; space group = P4/mmm, No. 123; electronic total energy = -5.034 eV/atom; V = 112 Å³ per cell; Fermi-level density of states = 3.28 states/eV per cell
1.0
5.5075 0.0000 0.0000
0.0000 3.6982 0.0000
0.0000 0.0000 5.5075
Mo Te Rh O
1 2 1 1
Direct
0.5000 0.5000 0.5000
0.0000 0.0000 0.5000
0.5000 0.0000 0.0000
0.0000 0.0000 0.0000
0.0000 0.5000 0.0000